4
Lattice="-1.794 1.924 -0.348 -2.309 -0.539 -1.192 -4.710 -1.338 6.775" Properties=species:S:1:pos:R:3 comment="ZnCo2Os | Alexandria | PBE | relaxed" space_group=R3m pbc="T T T"
Zn -2.736 0.923 -1.026
Co -3.860 -0.880 4.921
Co -2.217 0.004 1.339
Os -4.407 0.024 2.618

---

4
Lattice="-3.463 3.029 0.478 -1.094 -1.573 2.044 2.478 2.339 3.128" Properties=species:S:1:pos:R:3 comment="CaCo2W | Alexandria | PBE | relaxed" space_group=P4/mmm pbc="T T T"
Ca -0.248 2.577 4.252
Co 2.033 1.852 2.995
Co -0.940 2.194 1.666
W 0.245 -0.106 2.451

---

12
Lattice="5.940 0.000 0.000 0.000 6.187 -2.322 0.000 1.005 7.355" Properties=species:S:1:pos:R:3 comment="ThPaFe | Alexandria | PBE | relaxed" space_group=P2_1/c pbc="T T T"
Th 2.322 2.191 6.133
Th 3.618 5.001 -1.100
Th 5.293 2.410 3.739
Th 0.648 4.782 1.295
Pa 5.147 1.947 0.290
Pa 3.764 5.543 2.807
Pa 0.793 5.244 4.744
Pa 2.177 1.649 2.227
Fe 2.310 3.666 3.670
Fe 3.630 3.526 1.364
Fe 0.660 6.257 -1.169
Fe 5.281 0.935 6.202

---

no.,density of states at the Fermi level (states/eV/f.u.),ΔE_f (eV per atom),calculated volume (Å³/cell)
1,3.449,0.07,50.1
2,3.246,0.45,59.9
3,3.930,-0.07,284.2